5
Lattice="-0.9378 -0.4865 -4.5449 3.2933 -3.2893 -0.3274 -3.1697 -3.2736 1.0045" Properties=species:S:1:pos:R:3 comment="CsSmO3 | the Alexandria database | PBE | relaxed" density_g_cm3=5.4 e_form_raw_ev_per_atom=-1.78 energy_ev_per_atom=-5.87 magmom_total_mub_per_fu=2.000 pbc="T T T"
O 1.1777 -1.8879 -2.4362
O -2.0537 -1.8800 -1.7702
O 0.0618 -3.2814 0.3385
Sm -0.4071 -3.5247 -1.9339
Cs 0.0000 0.0000 0.0000

5
Lattice="5.1654 0.0000 0.0000 0.0000 4.9051 0.0000 0.0000 0.0000 5.1654" Properties=species:S:1:pos:R:3 comment="SnPt2SI | the Alexandria database | PBE | relaxed" density_g_cm3=8.5 e_form_raw_ev_per_atom=0.88 energy_ev_per_atom=-3.47 magmom_total_mub_per_fu=0.001 pbc="T T T"
Pt 2.5827 0.0000 0.0000
Pt 0.0000 0.0000 2.5827
Sn 0.0000 0.0000 0.0000
S 0.0000 2.4526 0.0000
I 2.5827 2.4526 2.5827

30
Lattice="-6.4233 1.4959 0.2925 -4.0201 -5.0844 1.2528 3.8595 -0.8130 24.1947" Properties=species:S:1:pos:R:3 comment="Pm2PrTm12 | the Alexandria database | PBE | relaxed" density_g_cm3=8.7 e_form_ev_per_atom=0.11 energy_ev_per_atom=-4.42 magmom_total_mub_per_fu=0.000 pbc="T T T"
Pm -7.2507 -1.5306 7.7866
Pm -4.5549 -4.6651 18.7262
Pm 0.6650 -2.8699 17.9438
Pm -2.0272 0.2626 7.0236
Tm -1.4428 -5.6112 17.4333
Tm -5.4269 0.6526 5.0639
Tm -5.0764 -1.5115 2.3742
Tm -5.4569 -3.6239 15.0482
Tm -6.3487 -2.5718 11.4645
Tm -7.5522 -2.1175 4.3861
Tm -3.1058 -3.2521 11.7081
Tm -1.1559 -5.0537 20.6760
Tm -2.6479 -2.3222 16.9537
Tm -0.2360 -1.8256 14.2791
Tm -3.9395 -2.0804 8.7869
Tm -5.1376 1.2109 8.3062
Tm -2.3586 -1.7639 20.1960
Tm -3.8844 -4.8050 2.8558
Tm -3.4836 -1.1513 14.0328
Tm -2.3290 -0.3224 3.6255
Tm -4.3019 0.0400 11.2271
Tm -2.7091 0.4002 22.8857
Tm -1.1261 -0.7816 10.6884
Tm -4.2534 -4.0782 22.1267
Tm -2.2765 -4.4396 14.5121
Tm -4.2264 -2.6379 5.5442
Tm 0.9668 -2.2848 21.3419
Tm -1.4979 -2.8867 23.3644
Pr -7.2332 -4.3321 1.3996
Pr -4.5724 -1.8637 25.1131

3
Lattice="-2.2894 7.4628 3.0439 -5.5148 4.7019 0.4150 0.5820 1.0447 4.8484" Properties=species:S:1:pos:R:3 comment="TeSeCl | the Alexandria database | PBE | relaxed" density_g_cm3=3.2 relative_energy_kcal_per_mol_atoms=2.329 e_form_raw_ev_per_atom=-0.15 energy_ev_per_atom=-2.97 magmom_total_mub_per_fu=0.000 pbc="T T T"
Te -5.0485 8.5107 3.9155
Cl 0.3315 1.3769 4.8069
Se -1.9232 4.3666 4.4333